The following is a DFT calculation (GGA-PBE) of ThTa4Te8 after structural relaxation.

Properties
**DOS at the Fermi energy**: 5.4 states/eV/f.u.
**Uncorrected energy**: -6.4393 eV per atom

```
data_ThTa4Te8
_chemical_formula_sum 'Th3 Ta12 Te24'
_cell_length_a 7.7388
_cell_length_b 7.7388
_cell_length_c 22.1022
_cell_angle_alpha 90.00
_cell_angle_beta 90.00
_cell_angle_gamma 120.00
_space_group_name_H-M_alt 'R -3 m'
_space_group_IT_number 166
_space_group_name_Hall '-R 3 2"'
loop_
_atom_site_label
_atom_site_type_symbol
_atom_site_fract_x
_atom_site_fract_y
_atom_site_fract_z
_atom_site_occupancy
Th1 Th 0.0000 0.0000 0.0000 1
Ta1 Ta 0.0000 0.0000 0.5000 1
Ta2 Ta 0.0000 0.5000 0.5000 1
Te1 Te 0.0000 0.0000 0.2456 1
Te2 Te 0.0148 0.5074 0.2453 1
```

=====

The following is a DFT calculation (GGA-PBE) of TaTiTe6 after structural relaxation.

Properties
**DOS at the Fermi energy**: 4.6 states/eV/f.u.
**Energy above the lowest structure with this stoichiometry**: 6 meV per atom

```
data_TaTiTe6
_chemical_formula_sum 'Ta1 Ti1 Te6'
_cell_length_a 6.5569
_cell_length_b 6.9219
_cell_length_c 7.0567
_cell_angle_alpha 85.17
_cell_angle_beta 62.52
_cell_angle_gamma 61.86
_space_group_name_H-M_alt 'P -1'
_space_group_IT_number 2
_space_group_name_Hall '-P 1'
loop_
_atom_site_label
_atom_site_type_symbol
_atom_site_fract_x
_atom_site_fract_y
_atom_site_fract_z
_atom_site_occupancy
Ta1 Ta 0.0000 0.0000 0.0000 1
Ti1 Ti 0.0000 0.5000 0.5000 1
Te1 Te 0.0790 0.1127 0.3206 1
Te2 Te 0.1998 0.2519 0.7495 1
Te3 Te 0.4920 0.6152 0.8209 1
```